{"formula": "Tb4DyTh3S8", "functional": "PBE-GGA", "state": "relaxed", "formation_energy_uncorrected_ev_per_atom": -1.93, "magnetic_moment_mub_per_atom": 0.00, "cell": [[-0.3222, 6.7439, 4.0616], [-7.7006, -1.3705, 1.6646], [5.3942, -5.4451, 1.8265]], "species": ["Tb", "Tb", "Tb", "Tb", "Dy", "Th", "Th", "Th", "S", "S", "S", "S", "S", "S", "S", "S"], "frac_coords": [[0.5000, 0.0000, 0.0000], [0.5000, 0.0000, 0.5000], [0.0000, 0.0000, 0.0000], [0.0000, 0.0000, 0.5000], [0.0000, 0.5000, 0.0000], [0.5000, 0.5000, 0.0000], [0.5000, 0.5000, 0.5000], [0.0000, 0.5000, 0.5000], [0.2495, 0.7578, 0.0083], [0.2495, 0.7578, 0.4990], [0.2456, 0.2368, 0.4912], [0.7587, 0.7578, 0.0083], [0.2413, 0.2422, 0.9917], [0.7544, 0.7632, 0.5088], [0.7505, 0.2422, 0.5010], [0.7505, 0.2422, 0.9917]]}